[1]
DFT (PBE) results for Pa2TcO6 after structural relaxation.

a b c (Å): 5.665 5.734 8.369
angles (deg): 90.00 104.20 90.00
Each line ends with the local moment (μB).
Element x y z (fractional)
O 0.300 0.850 0.443  0.04
O 0.700 0.150 0.557  0.04
O 0.291 0.586 0.768  0.05
O 0.777 0.652 0.626  0.04
O 0.223 0.348 0.374  0.04
O 0.200 0.350 0.057  0.04
O 0.209 0.086 0.732  0.05
O 0.800 0.650 0.943  0.04
O 0.723 0.152 0.874  0.04
O 0.709 0.414 0.232  0.05
O 0.277 0.848 0.126  0.04
O 0.791 0.914 0.268  0.05
Tc 0.000 0.000 0.500  2.40
Tc 0.500 0.500 0.000  2.40
Pa 0.535 0.872 0.718  0.01
Pa 0.035 0.628 0.218  0.01
Pa 0.465 0.128 0.282  0.01
Pa 0.965 0.372 0.782  0.01

Results
- energy (eV per atom) = -9.326
- symmetry = No. 14

=====

[2]
DFT (PBE) results for PaTcO after structural relaxation.

a b c (Å): 3.493 3.493 5.805
angles (deg): 90.00 90.00 120.00
Each line ends with the local moment (μB).
Element x y z (fractional)
Pa 0.667 0.333 0.374  0.04
O 0.333 0.667 0.547  0.00
Tc 0.000 0.000 0.079  0.17

Results
- energy above the most stable polymorph in this dataset (eV/atom) = 0.517
- symmetry = No. 156

=====

[3]
DFT (PBE) results for Pa2TcO after structural relaxation.

a b c (Å): 3.078 3.078 7.216
angles (deg): 90.00 90.00 90.00
Element x y z (fractional)
O 0.500 0.500 0.000
Pa 0.000 0.000 0.229
Pa 0.000 0.000 0.771
Tc 0.500 0.500 0.500

Results
- energy above the most stable polymorph in this dataset (eV/atom) = 0.172
- symmetry = No. 123

=====

[4]
DFT (PBE) results for PaTcO4 after structural relaxation.

a b c (Å): 5.938 5.938 5.938
angles (deg): 106.47 106.47 115.65
Element x y z (fractional)
O 0.710 0.514 0.196
O 0.735 0.020 0.285
O 0.264 0.960 0.696
O 0.770 0.985 0.785
O 0.735 0.450 0.715
O 0.318 0.514 0.804
O 0.200 0.985 0.215
O 0.264 0.568 0.304
Pa 0.991 0.491 0.500
Pa 0.241 0.241 0.000
Tc 0.511 0.011 0.500
Tc 0.761 0.761 0.000

Results
- energy (eV per atom) = -9.087
- symmetry = No. 109

=====

Which formula does entry 3 have? Pa2TcO

=====

Copy entry 3 word for word.
DFT (PBE) results for Pa2TcO after structural relaxation.

a b c (Å): 3.078 3.078 7.216
angles (deg): 90.00 90.00 90.00
Element x y z (fractional)
O 0.500 0.500 0.000
Pa 0.000 0.000 0.229
Pa 0.000 0.000 0.771
Tc 0.500 0.500 0.500

Results
- energy above the most stable polymorph in this dataset (eV/atom) = 0.172
- symmetry = No. 123